(1)
First-principles (PBE) data for a relaxed structure of Ho3ThS4, as listed in the Alexandria database.

```
8
Lattice="3.9552 -5.5582 0.0000 3.9552 5.5582 0.0000 0.0000 0.0000 3.8964" Properties=species:S:1:pos:R:3 pbc="T T T"
Ho 0.0000 0.0000 0.0000
Ho 1.9776 2.7791 1.9482
Ho 1.9776 -2.7791 1.9482
Th 3.9552 0.0000 0.0000
S 1.8909 0.0000 1.9482
S 3.9552 2.8382 0.0000
S 3.9552 -2.8382 0.0000
S 6.0196 0.0000 1.9482
```

Output
- calculated total energy (eV/atom) = -6.631
- formation energy from raw total energies (eV per atom) = -1.923

(2)
First-principles (PBE) data for a relaxed structure of HoThS3, as listed in the Alexandria database.

```
10
Lattice="6.8357 0.0000 0.0000 0.0000 4.3296 0.0000 -2.4492 0.0000 10.1073" Properties=species:S:1:pos:R:3 pbc="T T T"
Ho -0.1580 1.0824 1.5696
Ho 4.5446 3.2472 8.5377
Th 1.7643 1.0824 6.7364
Th 2.6223 3.2472 3.3709
S 1.2265 3.2472 0.9254
S 0.9268 1.0824 4.0547
S 0.1352 3.2472 7.4762
S 4.2513 1.0824 2.6311
S 3.4597 3.2472 6.0526
S 3.1600 1.0824 9.1820
```

Output
- calculated total energy (eV/atom) = -6.713
- formation energy from raw total energies (eV per atom) = -1.837
- polymorph energy (0 for the lowest one) (kcal/mol of atoms) = 3.85

(3)
First-principles (PBE) data for a relaxed structure of Ho2TmTh3S6, as listed in the Alexandria database.

```
12
Lattice="8.7988 -1.9450 0.0000 8.7988 1.9450 0.0000 -2.4299 0.0000 7.6874" Properties=species:S:1:pos:R:3 pbc="T T T"
Ho 2.1238 0.0000 2.5611
Ho 13.0440 0.0000 5.1263
Tm 8.7988 0.0000 0.0000
Th 0.9145 0.0000 6.4048
Th 7.5839 0.0000 3.8437
Th 14.2532 0.0000 1.2826
S -0.5045 0.0000 1.8212
S 4.7508 0.0000 3.2845
S 3.7572 0.0000 6.9758
S 11.4105 0.0000 0.7116
S 10.4170 0.0000 4.4029
S 15.6722 0.0000 5.8662
```

Output
- calculated total energy (eV/atom) = -6.943
- formation energy from raw total energies (eV per atom) = -1.889

(4)
First-principles (PBE) data for a relaxed structure of Ho2Tm3ThS6, as listed in the Alexandria database.

```
12
Lattice="8.4947 -1.9403 0.0000 8.4947 1.9403 0.0000 -1.8380 0.0000 7.5999" Properties=species:S:1:pos:R:3 pbc="T T T"
Ho 2.1821 0.0000 2.4989
Ho 12.9693 0.0000 5.1010
Tm 1.2404 0.0000 6.3372
Tm 7.5757 0.0000 3.8000
Tm 13.9110 0.0000 1.2627
Th 8.4947 0.0000 0.0000
S 16.4950 0.0000 2.0126
S -1.3436 0.0000 5.5873
S 3.8664 0.0000 6.9631
S 4.8911 0.0000 3.1492
S 10.2603 0.0000 4.4507
S 11.2850 0.0000 0.6369
```

Output
- calculated total energy (eV/atom) = -6.480
- formation energy from raw total energies (eV per atom) = -1.917